# CuBr2Cl

A geometry-optimized CuBr2Cl structure (PBE-GGA, Alexandria).

Properties
The space group is No. 225. The calculation puts the formation energy without anion corrections at 0.531 eV per atom. The value obtained for the energy relative to the lowest polymorph listed for this composition is 769 meV per atom. The crystal system is cubic.

Cell: 4.9571 4.9571 4.9571 Å, 60.00 60.00 60.00°
Atoms (fractional coordinates):
Br 0.7500 0.7500 0.7500
Br 0.2500 0.2500 0.2500
Cl 0.0000 0.0000 0.0000
Cu 0.5000 0.5000 0.5000

# CoAg3Cl

A geometry-optimized CoAg3Cl structure (PBE-GGA, Alexandria).

Properties
The space group is No. 221. The calculation puts the formation energy without anion corrections at 0.791 eV per atom. The value obtained for the energy relative to the lowest polymorph listed for this composition is 0 meV per atom. The crystal system is cubic.

Cell: 4.8803 4.8803 4.8803 Å, 90.00 90.00 90.00°
Last column: magnetic moment on the atom in μB.
Atoms (fractional coordinates):
Ag 0.0000 0.5000 0.0000  0.02
Ag 0.5000 0.0000 0.0000  0.00
Ag 0.0000 0.0000 0.5000  0.06
Cl 0.5000 0.5000 0.5000  -0.02
Co 0.0000 0.0000 0.0000  1.73

# LaTi2NiP4

A geometry-optimized LaTi2NiP4 structure (PBE-GGA, Alexandria).

Properties
The space group is No. 63. As for the energy relative to the elements: -1.0057 eV/atom. The crystal system is orthorhombic.

Cell: 3.7142 6.4839 12.3275 Å, 90.00 90.00 106.64°
Atoms (fractional coordinates):
La 0.8821 0.7642 0.2500
La 0.1179 0.2358 0.7500
Ni 0.1509 0.3017 0.2500
Ni 0.8491 0.6983 0.7500
P 0.7412 0.4824 0.8916
P 0.2588 0.5176 0.3916
P 0.0000 0.0000 0.5000
P 0.5591 0.1182 0.2500
P 0.7412 0.4824 0.6084
P 0.4409 0.8818 0.7500
P 0.0000 0.0000 0.0000
P 0.2588 0.5176 0.1084
Ti 0.6270 0.2540 0.4407
Ti 0.3730 0.7460 0.5593
Ti 0.3730 0.7460 0.9407
Ti 0.6270 0.2540 0.0593

# BaPm2Hg3

A geometry-optimized BaPm2Hg3 structure (PBE-GGA, Alexandria).

Properties
The space group is No. 123. As for the energy relative to the elements: -0.4774 eV/atom. The crystal system is tetragonal.

Cell: 3.8940 3.8940 12.0326 Å, 90.00 90.00 90.00°
Last column: magnetic moment on the atom in μB.
Atoms (fractional coordinates):
Hg 0.0000 0.0000 0.3021  0.00
Hg 0.0000 0.0000 0.0000  0.01
Hg 0.0000 0.0000 0.6979  0.00
Pm 0.5000 0.5000 0.1564  0.07
Pm 0.5000 0.5000 0.8436  0.07
Ba 0.5000 0.5000 0.5000  0.00

# FeNiHg3

A geometry-optimized FeNiHg3 structure (PBE-GGA, Alexandria).

Properties
The space group is No. 221. The value obtained for the energy relative to the lowest polymorph listed for this composition is 204 meV per atom. As for the energy relative to the elements: 0.9914 eV/atom. The crystal system is cubic.

Cell: 5.0211 5.0211 5.0211 Å, 90.00 90.00 90.00°
Last column: magnetic moment on the atom in μB.
Atoms (fractional coordinates):
Hg 0.5000 0.0000 0.0000  -0.05
Hg 0.0000 0.0000 0.5000  0.01
Hg 0.0000 0.5000 0.0000  -0.02
Fe 0.0000 0.0000 0.0000  2.49
Ni 0.5000 0.5000 0.5000  -0.74

# TmLuBe

A geometry-optimized TmLuBe structure (PBE-GGA, Alexandria).

Properties
The space group is No. 107. As for the energy relative to the elements: 0.0615 eV/atom. The crystal system is tetragonal.

Cell: 3.3843 3.3843 6.3752 Å, 105.39 105.39 90.00°
Atoms (fractional coordinates):
Tm 0.0295 0.0295 0.0589
Lu 0.3023 0.3023 0.6046
Be 0.6682 0.6682 0.3365

# TbPm2Nd6Ho3

A geometry-optimized TbPm2Nd6Ho3 structure (PBE-GGA, Alexandria).

Properties
The space group is No. 12. As for the energy relative to the elements: 0.0130 eV/atom. The crystal system is monoclinic.

Cell: 6.2966 6.2966 11.9473 Å, 95.03 95.03 120.00°
Atoms (fractional coordinates):
Nd 0.7515 0.7515 0.2529
Nd 0.2485 0.2485 0.7471
Nd 0.0843 0.4171 0.2527
Nd 0.4171 0.0843 0.2527
Nd 0.9157 0.5829 0.7473
Nd 0.5829 0.9157 0.7473
Ho 0.5000 0.5000 0.5000
Ho 0.8334 0.1666 0.5000
Ho 0.1666 0.8334 0.5000
Pm 0.6667 0.3333 0.0000
Pm 0.3333 0.6667 0.0000
Tb 0.0000 0.0000 0.0000

# PmHgPdPt

A geometry-optimized PmHgPdPt structure (PBE-GGA, Alexandria).

Properties
The space group is No. 216. As for the energy relative to the elements: -0.6686 eV/atom. The crystal system is cubic.

Cell: 4.8783 4.8783 4.8783 Å, 60.00 60.00 60.00°
Atoms (fractional coordinates):
Pd 0.2500 0.2500 0.2500
Pt 0.7500 0.7500 0.7500
Hg 0.5000 0.5000 0.5000
Pm 0.0000 0.0000 0.0000

# CaLa2Pm6Er3

A geometry-optimized CaLa2Pm6Er3 structure (PBE-GGA, Alexandria).

Properties
The space group is No. 12. As for the energy relative to the elements: 0.0371 eV/atom. The crystal system is monoclinic.

Cell: 6.3217 6.3217 12.0399 Å, 95.00 95.00 120.02°
Atoms (fractional coordinates):
Er 0.8342 0.1658 0.5000
Er 0.1658 0.8342 0.5000
Er 0.5000 0.5000 0.5000
Ca 0.0000 0.0000 0.0000
Pm 0.4234 0.0864 0.2588
Pm 0.2500 0.2500 0.7407
Pm 0.7500 0.7500 0.2593
Pm 0.9136 0.5766 0.7412
Pm 0.5766 0.9136 0.7412
Pm 0.0864 0.4234 0.2588
La 0.3329 0.6671 0.0000
La 0.6671 0.3329 0.0000

# Cu3Rh3Se8

A geometry-optimized Cu3Rh3Se8 structure (PBE-GGA, Alexandria).

Properties
The space group is No. 166. The calculation puts the formation energy without anion corrections at -0.302 eV per atom. The crystal system is trigonal.

Cell: 7.3485 7.3485 7.3485 Å, 60.08 60.08 60.08°
Atoms (fractional coordinates):
Rh 0.5000 0.0000 0.0000
Rh 0.0000 0.5000 0.0000
Rh 0.0000 0.0000 0.5000
Se 0.7588 0.7588 0.2215
Se 0.7588 0.2215 0.7588
Se 0.7595 0.7595 0.7595
Se 0.2405 0.2405 0.2405
Se 0.2215 0.7588 0.7588
Se 0.2412 0.2412 0.7785
Se 0.2412 0.7785 0.2412
Se 0.7785 0.2412 0.2412
Cu 0.6232 0.6232 0.6232
Cu 0.3768 0.3768 0.3768
Cu 0.0000 0.0000 0.0000

# Pm8C3Br4F

A geometry-optimized Pm8C3Br4F structure (PBE-GGA, Alexandria).

Properties
The space group is No. 166. The calculation puts the formation energy without anion corrections at -1.110 eV per atom. The crystal system is trigonal.

Cell: 7.5893 8.5548 7.5865 Å, 116.29 120.01 90.00°
Atoms (fractional coordinates):
F 0.0000 0.5000 0.0000
C 0.0000 0.5000 0.5000
C 0.5000 0.5000 0.5000
C 0.5000 0.5000 0.0000
Pm 0.7637 0.3161 0.0526
Pm 0.2715 0.3145 0.5431
Pm 0.7636 0.3161 0.5272
Pm 0.2890 0.3161 0.0526
Pm 0.2363 0.6839 0.9474
Pm 0.7110 0.6839 0.9474
Pm 0.2364 0.6839 0.4728
Pm 0.7285 0.6855 0.4569
Br 0.0000 0.0000 0.0000
Br 0.0000 0.0000 0.5000
Br 0.5000 0.0000 0.5000
Br 0.5000 0.0000 0.0000

# YFe2Co

A geometry-optimized YFe2Co structure (PBE-GGA, Alexandria).

Properties
The space group is No. 160. As for the energy relative to the elements: 0.5410 eV/atom. The crystal system is trigonal.

Cell: 8.5340 8.5340 8.5340 Å, 20.09 20.09 20.09°
Last column: magnetic moment on the atom in μB.
Atoms (fractional coordinates):
Y 0.5019 0.5019 0.5019  -0.07
Fe 0.7376 0.7376 0.7376  2.67
Fe 0.9980 0.9980 0.9980  2.82
Co 0.2624 0.2624 0.2624  1.62

# YSiGe3

A geometry-optimized YSiGe3 structure (PBE-GGA, Alexandria).

Properties
The space group is No. 221. The calculation puts the formation energy without anion corrections at 0.224 eV per atom. The value obtained for the energy relative to the lowest polymorph listed for this composition is 0 meV per atom. The crystal system is cubic.

Cell: 4.8235 4.8235 4.8235 Å, 90.00 90.00 90.00°
Atoms (fractional coordinates):
Ge 0.5000 0.0000 0.0000
Ge 0.0000 0.0000 0.5000
Ge 0.0000 0.5000 0.0000
Si 0.0000 0.0000 0.0000
Y 0.5000 0.5000 0.5000

# Ba2Zn6Ir

A geometry-optimized Ba2Zn6Ir structure (PBE-GGA, Alexandria).

Properties
The space group is No. 164. As for the energy relative to the elements: -0.1689 eV/atom. The crystal system is trigonal.

Cell: 5.9771 6.3713 6.3713 Å, 59.97 89.99 89.99°
Atoms (fractional coordinates):
Zn 0.3249 0.8450 0.3093
Zn 0.6748 0.1543 0.1543
Zn 0.6751 0.1550 0.6907
Zn 0.3252 0.8457 0.8457
Zn 0.3249 0.3094 0.8450
Zn 0.6751 0.6906 0.1550
Ba 0.8350 0.6669 0.6669
Ba 0.1650 0.3331 0.3331
Ir 0.0000 0.0000 0.0000

# CdHg2H3

A geometry-optimized CdHg2H3 structure (PBE-GGA, Alexandria).

Properties
The space group is No. 65. The crystal system is orthorhombic.

Cell: 7.6474 8.0462 8.0462 Å, 22.52 90.00 90.00°
Atoms (fractional coordinates):
Cd 0.7500 0.4999 0.5001
Cd 0.2500 0.5001 0.4999
H 0.5000 0.5000 0.5000
H 0.5000 0.1676 0.1676
H 0.0000 0.1676 0.1676
H 0.5000 0.8324 0.8324
H 0.0000 0.8324 0.8324
H 0.0000 0.5000 0.5000
Hg 0.7500 0.1651 0.1651
Hg 0.2500 0.1651 0.1651
Hg 0.2500 0.8349 0.8349
Hg 0.7500 0.8349 0.8349

# LaPm2GaO

A geometry-optimized LaPm2GaO structure (PBE-GGA, Alexandria).

Properties
The space group is No. 123. The calculation puts the formation energy without anion corrections at -1.382 eV per atom. The crystal system is tetragonal.

Cell: 4.9712 4.8927 4.8927 Å, 90.00 90.00 90.00°
Atoms (fractional coordinates):
Pm 0.0000 0.5000 0.0000
Pm 0.0000 0.0000 0.5000
O 0.0000 0.0000 0.0000
La 0.5000 0.0000 0.0000
Ga 0.5000 0.5000 0.5000

# ZnSiRh2

A geometry-optimized ZnSiRh2 structure (PBE-GGA, Alexandria).

Properties
The space group is No. 123. The calculation puts the formation energy without anion corrections at -0.676 eV per atom. The value obtained for the energy relative to the lowest polymorph listed for this composition is 0 meV per atom. The crystal system is tetragonal.

Cell: 2.8862 2.8894 7.0544 Å, 65.81 90.00 90.00°
Atoms (fractional coordinates):
Rh 0.0000 0.9719 0.0277
Rh 0.0000 0.5281 0.4723
Zn 0.5000 0.7500 0.7500
Si 0.5000 0.2500 0.2500

# ZnInNiH

A geometry-optimized ZnInNiH structure (PBE-GGA, Alexandria).

Properties
The space group is No. 1. The value obtained for the energy relative to the lowest polymorph listed for this composition is 23 meV per atom. The crystal system is triclinic.

Cell: 2.8203 4.2498 5.1636 Å, 106.68 105.62 90.05°
Atoms (fractional coordinates):
Zn 0.0356 0.5066 0.7345
Ni 0.5512 0.0107 0.7651
In 0.8051 0.8464 0.2729
H 0.1299 0.1728 0.9255

# LiTcI2

A geometry-optimized LiTcI2 structure (PBE-GGA, Alexandria).

Properties
The space group is No. 225. The calculation puts the formation energy without anion corrections at 0.402 eV per atom. The value obtained for the energy relative to the lowest polymorph listed for this composition is 190 meV per atom. The crystal system is cubic.

Cell: 4.9347 4.9347 4.9347 Å, 60.00 60.00 60.00°
Atoms (fractional coordinates):
I 0.2500 0.2500 0.2500
I 0.7500 0.7500 0.7500
Li 0.0000 0.0000 0.0000
Tc 0.5000 0.5000 0.5000

# Pm2Sm3Y6Sc

A geometry-optimized Pm2Sm3Y6Sc structure (PBE-GGA, Alexandria).

Properties
The space group is No. 12. As for the energy relative to the elements: 0.0255 eV/atom. The crystal system is monoclinic.

Cell: 6.1875 6.1875 11.8295 Å, 94.99 94.99 119.98°
Atoms (fractional coordinates):
Pm 0.6663 0.3337 0.0000
Pm 0.3337 0.6663 0.0000
Sm 0.1665 0.8335 0.5000
Sm 0.8335 0.1665 0.5000
Sm 0.5000 0.5000 0.5000
Y 0.5876 0.9180 0.7525
Y 0.7517 0.7517 0.2481
Y 0.2483 0.2483 0.7519
Y 0.9180 0.5876 0.7525
Y 0.4124 0.0820 0.2475
Y 0.0820 0.4124 0.2475
Sc 0.0000 0.0000 0.0000

| no. | energy (eV/atom) | M_tot (μB per cell) |
| --- | --- | --- |
| 1 | -1.79 | 0.0 |
| 2 | -2.71 | 1.7 |
| 3 | -7.02 | 0.0 |
| 4 | -2.53 | 0.3 |
| 5 | -2.04 | 1.7 |
| 6 | -4.18 | 0.0 |
| 7 | -4.69 | 0.0 |
| 8 | -4.74 | 0.0 |
| 9 | -4.47 | 0.0 |
| 10 | -4.75 | 0.0 |
| 11 | -5.75 | 0.0 |
| 12 | -7.08 | 7.0 |
| 13 | -4.92 | 0.0 |
| 14 | -2.43 | 0.0 |
| 15 | -1.55 | 0.0 |
| 16 | -5.87 | 0.0 |
| 17 | -6.03 | 0.0 |
| 18 | -3.29 | 0.0 |
| 19 | -3.44 | 0.0 |
| 20 | -5.71 | 0.0 |